LiTcCl2 PBE relaxed; DOS(E_F) = 0.15 states/eV per atom; crystal system = trigonal; uncorrected formation energy = -0.330 eV per atom; SG = R-3m (166)
1.0
7.445 -0.126 -0.075
6.717 3.214 -0.075
6.717 1.464 2.862
Cl Li Tc
2 1 1
Direct
0.988 0.988 0.988
0.512 0.512 0.512
0.250 0.250 0.250
0.750 0.750 0.750



LiTcCl PBE relaxed; DOS(E_F) = 0.93 states/eV per atom; crystal system = hexagonal; uncorrected formation energy = 0.377 eV per atom; SG = P-6m2 (187)
1.0
4.266 0.000 0.000
-2.133 3.695 0.000
0.000 0.000 2.803
Cl Li Tc
1 1 1
Direct
0.000 0.000 0.833
0.667 0.333 0.334
0.333 0.667 0.833



LiTcCl3 PBE relaxed; DOS(E_F) = 0.52 states/eV per atom; crystal system = cubic; uncorrected formation energy = -0.530 eV per atom; SG = Pm-3m (221)
1.0
-1.682 3.105 -3.466
-3.454 -3.303 -1.283
-3.119 1.983 3.290
Li Tc Cl
1 1 3
Direct
0.500 0.500 0.500
0.000 0.000 0.000
0.000 0.500 0.000
0.000 0.000 0.500
0.500 0.000 0.000



Li4TcCl PBE relaxed; DOS(E_F) = 0.13 states/eV per atom; crystal system = cubic; uncorrected formation energy = 0.439 eV per atom; SG = F-43m (216)
1.0
0.000 3.699 3.699
3.699 0.000 3.699
3.699 3.699 0.000
Li Tc Cl
4 1 1
Direct
0.871 0.376 0.376
0.376 0.376 0.871
0.376 0.871 0.376
0.376 0.376 0.376
0.750 0.750 0.750
0.000 0.000 0.000



Li2TcCl8 PBE relaxed; DOS(E_F) = 0.60 states/eV per atom; crystal system = monoclinic; uncorrected formation energy = -0.822 eV per atom; SG = C2/m (12)
1.0
6.157 0.095 0.507
0.303 6.733 3.936
0.078 1.322 7.691
Li Tc Cl
2 1 8
Direct
0.619 0.841 0.841
0.381 0.159 0.159
0.000 0.000 0.000
0.220 0.306 0.811
0.780 0.189 0.694
0.216 0.854 0.854
0.784 0.146 0.146
0.220 0.811 0.306
0.780 0.694 0.189
0.713 0.680 0.680
0.287 0.320 0.320



LiTcCl2 PBE relaxed; DOS(E_F) = 0.65 states/eV per atom; crystal system = tetragonal; uncorrected formation energy = -0.190 eV per atom; SG = I-4m2 (119)
1.0
7.456 -0.149 0.000
5.872 4.596 0.000
-6.664 -2.223 2.501
Cl Li Tc
2 1 1
Direct
0.000 0.000 0.000
0.250 0.750 0.500
0.500 0.500 0.000
0.750 0.250 0.500



Li2TcCl5 PBE relaxed; DOS(E_F) = 0.37 states/eV per atom; crystal system = orthorhombic; uncorrected formation energy = -1.135 eV per atom; SG = Cmcm (63)
1.0
4.828 0.000 0.000
-2.414 6.348 0.000
0.000 0.000 12.252
Li Tc Cl
4 2 10
Direct
0.874 0.748 0.422
0.874 0.748 0.078
0.126 0.252 0.578
0.126 0.252 0.922
0.796 0.591 0.750
0.204 0.409 0.250
0.931 0.861 0.887
0.931 0.861 0.613
0.335 0.669 0.394
0.335 0.669 0.106
0.726 0.452 0.250
0.274 0.548 0.750
0.665 0.331 0.606
0.665 0.331 0.894
0.069 0.139 0.113
0.069 0.139 0.387



LiTcCl2 PBE relaxed; DOS(E_F) = 0.70 states/eV per atom; crystal system = orthorhombic; uncorrected formation energy = -0.244 eV per atom; SG = Pmm2 (25)
1.0
3.160 0.000 0.000
0.000 3.795 0.000
0.000 0.000 5.280
Cl Li Tc
2 1 1
Direct
0.000 0.000 0.908
0.500 0.500 0.336
0.000 0.000 0.427
0.500 0.500 0.828



LiTc4Cl PBE relaxed; DOS(E_F) = 0.76 states/eV per atom; crystal system = cubic; uncorrected formation energy = 0.841 eV per atom; SG = F-43m (216)
1.0
4.749 -2.076 -0.215
0.570 -5.092 -0.809
1.879 -1.713 -4.521
Li Tc Cl
1 4 1
Direct
0.000 0.000 0.000
0.872 0.376 0.376
0.376 0.376 0.872
0.376 0.872 0.376
0.376 0.376 0.376
0.750 0.750 0.750



LiTlTcCl6 PBE relaxed; crystal system = trigonal; uncorrected formation energy = -1.042 eV per atom; SG = P-31c (163)
1.0
6.528 0.000 0.000
-3.264 5.654 0.000
0.000 0.000 13.977
Li Tl Tc Cl
2 2 2 12
Direct
0.333 0.667 0.250
0.667 0.333 0.750
0.000 0.000 0.000
0.000 0.000 0.500
0.667 0.333 0.250
0.333 0.667 0.750
0.641 0.618 0.152
0.976 0.359 0.152
0.359 0.976 0.652
0.024 0.641 0.848
0.382 0.359 0.348
0.976 0.618 0.348
0.618 0.976 0.848
0.641 0.024 0.348
0.024 0.382 0.652
0.382 0.024 0.152
0.618 0.641 0.652
0.359 0.382 0.848



Li2TlTcCl PBE relaxed; DOS(E_F) = 1.00 states/eV per atom; crystal system = tetragonal; uncorrected formation energy = 0.953 eV per atom; SG = P4/mmm (123)
1.0
5.210 0.000 0.000
0.000 5.630 0.000
0.000 0.000 5.210
Tl Li Tc Cl
1 2 1 1
Direct
0.000 0.000 0.000
0.000 0.000 0.500
0.500 0.000 0.000
0.500 0.500 0.500
0.000 0.500 0.000



LiVTcCl2 PBE relaxed; DOS(E_F) = 0.50 states/eV per atom; crystal system = tetragonal; uncorrected formation energy = 0.294 eV per atom; SG = P4/mmm (123)
1.0
4.992 0.000 0.000
0.000 4.651 0.000
0.000 0.000 4.992
Cl Li Tc V
2 1 1 1
Direct
0.000 0.000 0.500
0.500 0.000 0.000
0.500 0.500 0.500
0.000 0.000 0.000
0.000 0.500 0.000